Entry 1:
Compound: Gd2TmAl3AgPt2
Source: OQMD via LeMat-Bulk
Functional: PBE
Structure: relaxed

Summary:
The space group is Amm2 (38). Its electronic total energy is -5.307 eV per atom. Its total magnetization is 0.00 μB/f.u.

Unit cell a=3.9261 b=7.3440 c=7.3440 alpha=119.80 beta=90.00 gamma=90.00
With the nearest neighbours (Å) after each atom.
Positions (direct):
Gd (0.0000, 0.2075, 0.7925)  4 Pt 2.97-2.98, 1 Ag 3.06, 4 Al 3.11-3.31
Gd (0.0000, 0.7925, 0.2075)  4 Pt 2.97-2.98, 1 Ag 3.06, 4 Al 3.11-3.31
Tm (0.0000, 0.6241, 0.6241)  4 Pt 2.92, 1 Ag 3.03, 2 Al 3.10
Al (0.5000, 0.2110, 0.4665)  2 Ag 2.71, 2 Pt 2.75-2.83
Al (0.5000, 0.4665, 0.2110)  2 Ag 2.71, 2 Pt 2.75-2.83
Al (0.5000, 0.9500, 0.9500)  2 Pt 2.74, 2 Ag 2.75
Ag (0.0000, 0.2122, 0.2122)  6 Al 2.71-2.75, 1 Tm 3.03
Pt (0.5000, 0.5435, 0.8703)  3 Al 2.74-2.83, 2 Tm 2.92, 4 Gd 2.97-2.98
Pt (0.5000, 0.8703, 0.5435)  3 Al 2.74-2.83, 2 Tm 2.92, 4 Gd 2.97-2.98

---

Entry 2:
Compound: Sm2GdAl7Ag2
Source: OQMD via LeMat-Bulk
Functional: PBE
Structure: relaxed

Summary:
The space group is R-3m (166). Its electronic total energy is -4.289 eV per atom. Its total magnetization is 0.00 μB/f.u.

Unit cell a=9.4107 b=9.4107 c=9.4107 alpha=34.64 beta=34.64 gamma=34.64
With the nearest neighbours (Å) after each atom.
Positions (direct):
Sm (0.1418, 0.1418, 0.1418)  12 Al 3.20-3.30, 3 Sm 3.49
Sm (0.8582, 0.8582, 0.8582)  12 Al 3.20-3.30, 3 Sm 3.49
Gd (0.0000, 0.0000, 0.0000)  6 Ag 3.24, 12 Al 3.56
Al (0.0750, 0.5872, 0.5872)  2 Ag 2.70-2.77, 5 Al 2.73-2.87
Al (0.4128, 0.4128, 0.9250)  2 Ag 2.70-2.77, 5 Al 2.73-2.87
Al (0.4128, 0.9250, 0.4128)  2 Ag 2.70-2.77, 5 Al 2.73-2.87
Al (0.5000, 0.5000, 0.5000)  6 Al 2.77
Al (0.5872, 0.0750, 0.5872)  2 Ag 2.70-2.77, 5 Al 2.73-2.87
Al (0.5872, 0.5872, 0.0750)  2 Ag 2.70-2.77, 5 Al 2.73-2.87
Al (0.9250, 0.4128, 0.4128)  2 Ag 2.70-2.77, 5 Al 2.73-2.87
Ag (0.3359, 0.3359, 0.3359)  6 Al 2.70-2.77
Ag (0.6641, 0.6641, 0.6641)  6 Al 2.70-2.77

---

Entry 3:
Compound: SrGd2Al7Ag2
Source: OQMD via LeMat-Bulk
Functional: PBE
Structure: relaxed

Summary:
The space group is R-3m (166). Its electronic total energy is -4.001 eV per atom. Its total magnetization is 0.01 μB/f.u.

Unit cell a=9.4575 b=9.4575 c=9.4575 alpha=34.70 beta=34.70 gamma=34.70
With the nearest neighbours (Å) after each atom.
Positions (direct):
Sr (0.0000, 0.0000, 0.0000)  6 Ag 3.26, 12 Al 3.61
Gd (0.1427, 0.1427, 0.1427)  12 Al 3.22-3.32, 3 Gd 3.50
Gd (0.8573, 0.8573, 0.8573)  12 Al 3.22-3.32, 3 Gd 3.50
Al (0.0755, 0.5889, 0.5889)  5 Al 2.74-2.90, 2 Ag 2.75-2.81
Al (0.4111, 0.4111, 0.9245)  5 Al 2.74-2.90, 2 Ag 2.75-2.81
Al (0.4111, 0.9245, 0.4111)  5 Al 2.74-2.90, 2 Ag 2.75-2.81
Al (0.5000, 0.5000, 0.5000)  6 Al 2.76
Al (0.5889, 0.0755, 0.5889)  5 Al 2.74-2.90, 2 Ag 2.75-2.81
Al (0.5889, 0.5889, 0.0755)  5 Al 2.74-2.90, 2 Ag 2.75-2.81
Al (0.9245, 0.4111, 0.4111)  5 Al 2.74-2.90, 2 Ag 2.75-2.81
Ag (0.3359, 0.3359, 0.3359)  6 Al 2.75-2.81
Ag (0.6641, 0.6641, 0.6641)  6 Al 2.75-2.81

---

Entry 4:
Compound: Gd2TmAl7Ag2
Source: OQMD via LeMat-Bulk
Functional: PBE
Structure: relaxed

Summary:
The space group is R-3m (166). Its electronic total energy is -4.243 eV per atom. Its total magnetization is 0.00 μB/f.u.

Unit cell a=9.3494 b=9.3494 c=9.3494 alpha=34.57 beta=34.57 gamma=34.57
With the nearest neighbours (Å) after each atom.
Positions (direct):
Gd (0.1420, 0.1420, 0.1420)  12 Al 3.18-3.27, 3 Gd 3.46
Gd (0.8580, 0.8580, 0.8580)  12 Al 3.18-3.27, 3 Gd 3.46
Tm (0.0000, 0.0000, 0.0000)  6 Ag 3.21, 12 Al 3.54
Al (0.0758, 0.5875, 0.5875)  2 Ag 2.70-2.75, 5 Al 2.71-2.84
Al (0.4125, 0.4125, 0.9242)  2 Ag 2.70-2.75, 5 Al 2.71-2.84
Al (0.4125, 0.9242, 0.4125)  2 Ag 2.70-2.75, 5 Al 2.71-2.84
Al (0.5000, 0.5000, 0.5000)  6 Al 2.74
Al (0.5875, 0.0758, 0.5875)  2 Ag 2.70-2.75, 5 Al 2.71-2.84
Al (0.5875, 0.5875, 0.0758)  2 Ag 2.70-2.75, 5 Al 2.71-2.84
Al (0.9242, 0.4125, 0.4125)  2 Ag 2.70-2.75, 5 Al 2.71-2.84
Ag (0.3356, 0.3356, 0.3356)  6 Al 2.70-2.75
Ag (0.6644, 0.6644, 0.6644)  6 Al 2.70-2.75

---

Entry 5:
Compound: GdTm2Al7Ag2
Source: OQMD via LeMat-Bulk
Functional: PBE
Structure: relaxed

Summary:
The space group is R-3m (166). Its electronic total energy is -4.241 eV per atom. Its total magnetization is 0.00 μB/f.u.

Unit cell a=9.3227 b=9.3227 c=9.3227 alpha=34.48 beta=34.48 gamma=34.48
With the nearest neighbours (Å) after each atom.
Positions (direct):
Gd (0.0000, 0.0000, 0.0000)  6 Ag 3.19, 12 Al 3.54
Tm (0.1425, 0.1425, 0.1425)  12 Al 3.16-3.25, 3 Tm 3.43
Tm (0.8575, 0.8575, 0.8575)  12 Al 3.16-3.25, 3 Tm 3.43
Al (0.0765, 0.5883, 0.5883)  5 Al 2.70-2.83, 2 Ag 2.71-2.76
Al (0.4117, 0.4117, 0.9235)  5 Al 2.70-2.83, 2 Ag 2.71-2.76
Al (0.4117, 0.9235, 0.4117)  5 Al 2.70-2.83, 2 Ag 2.71-2.76
Al (0.5000, 0.5000, 0.5000)  6 Al 2.71
Al (0.5883, 0.0765, 0.5883)  5 Al 2.70-2.83, 2 Ag 2.71-2.76
Al (0.5883, 0.5883, 0.0765)  5 Al 2.70-2.83, 2 Ag 2.71-2.76
Al (0.9235, 0.4117, 0.4117)  5 Al 2.70-2.83, 2 Ag 2.71-2.76
Ag (0.3356, 0.3356, 0.3356)  6 Al 2.71-2.76
Ag (0.6644, 0.6644, 0.6644)  6 Al 2.71-2.76

---

Entry 6:
Compound: Gd2YAl7Ag2
Source: OQMD via LeMat-Bulk
Functional: PBE
Structure: relaxed

Summary:
The space group is R-3m (166). Its electronic total energy is -4.431 eV per atom. Its total magnetization is 0.00 μB/f.u.

Unit cell a=9.3663 b=9.3663 c=9.3663 alpha=34.58 beta=34.58 gamma=34.58
With the nearest neighbours (Å) after each atom.
Positions (direct):
Gd (0.1420, 0.1420, 0.1420)  12 Al 3.18-3.28, 3 Gd 3.47
Gd (0.8580, 0.8580, 0.8580)  12 Al 3.18-3.28, 3 Gd 3.47
Y (0.0000, 0.0000, 0.0000)  6 Ag 3.21, 12 Al 3.55
Al (0.0758, 0.5875, 0.5875)  2 Ag 2.70-2.76, 5 Al 2.72-2.85
Al (0.4125, 0.4125, 0.9242)  2 Ag 2.70-2.76, 5 Al 2.72-2.85
Al (0.4125, 0.9242, 0.4125)  2 Ag 2.70-2.76, 5 Al 2.72-2.85
Al (0.5000, 0.5000, 0.5000)  6 Al 2.74
Al (0.5875, 0.0758, 0.5875)  2 Ag 2.70-2.76, 5 Al 2.72-2.85
Al (0.5875, 0.5875, 0.0758)  2 Ag 2.70-2.76, 5 Al 2.72-2.85
Al (0.9242, 0.4125, 0.4125)  2 Ag 2.70-2.76, 5 Al 2.72-2.85
Ag (0.3356, 0.3356, 0.3356)  6 Al 2.70-2.76
Ag (0.6644, 0.6644, 0.6644)  6 Al 2.70-2.76

---

Entry 7:
Compound: AlAgGe2
Source: OQMD via LeMat-Bulk
Functional: PBE
Structure: relaxed

Summary:
The space group is F-43m (216). Its electronic total energy is -3.712 eV per atom.

Unit cell a=4.7281 b=4.7281 c=4.7281 alpha=60.00 beta=60.00 gamma=60.00
With the nearest neighbours (Å) after each atom.
Positions (direct):
Al (0.0000, 0.0000, 0.0000)  4 Ge 2.90, 4 Ag 2.90
Ag (0.2500, 0.2500, 0.2500)  4 Ge 2.90, 4 Al 2.90
Ge (0.5000, 0.5000, 0.5000)  4 Ge 2.90, 4 Ag 2.90
Ge (0.7500, 0.7500, 0.7500)  4 Ge 2.90, 4 Al 2.90

---

Entry 8:
Compound: Al6AgGe2
Source: OQMD via LeMat-Bulk
Functional: PBE
Structure: relaxed

Summary:
The space group is P-62m (189). Its electronic total energy is -3.740 eV per atom.

Unit cell a=7.8511 b=7.8511 c=2.9323 alpha=90.00 beta=90.00 gamma=120.00
With the nearest neighbours (Å) after each atom.
Positions (direct):
Al (0.0000, 0.3673, 0.0000)  1 Ag 2.88, 4 Ge 2.89, 8 Al 2.93-3.04
Al (0.0000, 0.6999, 0.5000)  2 Ge 2.76, 2 Ag 2.77, 8 Al 2.93-3.04
Al (0.3001, 0.3001, 0.5000)  2 Ge 2.76, 2 Ag 2.77, 8 Al 2.93-3.04
Al (0.3673, 0.0000, 0.0000)  1 Ag 2.88, 4 Ge 2.89, 8 Al 2.93-3.04
Al (0.6327, 0.6327, 0.0000)  1 Ag 2.88, 4 Ge 2.89, 8 Al 2.93-3.04
Al (0.6999, 0.0000, 0.5000)  2 Ge 2.76, 2 Ag 2.77, 8 Al 2.93-3.04
Ag (0.0000, 0.0000, 0.0000)  9 Al 2.77-2.88, 2 Ag 2.93
Ge (0.3333, 0.6667, 0.5000)  9 Al 2.76-2.89, 2 Ge 2.93
Ge (0.6667, 0.3333, 0.5000)  9 Al 2.76-2.89, 2 Ge 2.93

---

Entry 9:
Compound: Al2AgGe2
Source: OQMD via LeMat-Bulk
Functional: PBE
Structure: relaxed

Summary:
The space group is I4/mmm (139). Its electronic total energy is -3.708 eV per atom.

Unit cell a=6.0761 b=6.0761 c=6.0761 alpha=137.99 beta=137.99 gamma=60.92
With the nearest neighbours (Å) after each atom.
Positions (direct):
Al (0.2500, 0.7500, 0.5000)  4 Ge 2.59
Al (0.7500, 0.2500, 0.5000)  4 Ge 2.59
Ag (0.0000, 0.0000, 0.0000)  8 Ge 3.31, 8 Al 3.41
Ge (0.3842, 0.3842, 0.0000)  1 Ge 2.43, 4 Al 2.59
Ge (0.6158, 0.6158, 0.0000)  1 Ge 2.43, 4 Al 2.59

---

Entry 10:
Compound: Al6Ag2Ge
Source: OQMD via LeMat-Bulk
Functional: PBE
Structure: relaxed

Summary:
The space group is P-62m (189). Its electronic total energy is -3.551 eV per atom.

Unit cell a=7.9342 b=7.9342 c=2.8636 alpha=90.00 beta=90.00 gamma=120.00
With the nearest neighbours (Å) after each atom.
Positions (direct):
Al (0.0000, 0.3697, 0.0000)  8 Al 2.86-3.07, 4 Ag 2.89, 1 Ge 2.93
Al (0.0000, 0.6955, 0.5000)  2 Ag 2.77, 2 Ge 2.81, 8 Al 2.86-3.07
Al (0.3045, 0.3045, 0.5000)  2 Ag 2.77, 2 Ge 2.81, 8 Al 2.86-3.07
Al (0.3697, 0.0000, 0.0000)  8 Al 2.86-3.07, 4 Ag 2.89, 1 Ge 2.93
Al (0.6303, 0.6303, 0.0000)  8 Al 2.86-3.07, 4 Ag 2.89, 1 Ge 2.93
Al (0.6955, 0.0000, 0.5000)  2 Ag 2.77, 2 Ge 2.81, 8 Al 2.86-3.07
Ag (0.3333, 0.6667, 0.5000)  9 Al 2.77-2.89, 2 Ag 2.86
Ag (0.6667, 0.3333, 0.5000)  9 Al 2.77-2.89, 2 Ag 2.86
Ge (0.0000, 0.0000, 0.0000)  9 Al 2.81-2.93, 2 Ge 2.86

---

Entry 11:
Compound: TbHo2Al3AgGe2
Source: OQMD via LeMat-Bulk
Functional: PBE
Structure: relaxed

Summary:
The space group is Amm2 (38). Its electronic total energy is -4.736 eV per atom. Its total magnetization is 0.00 μB/f.u.

Unit cell a=4.2706 b=7.0454 c=7.0454 alpha=120.09 beta=90.00 gamma=90.00
With the nearest neighbours (Å) after each atom.
Positions (direct):
Tb (0.0000, 0.0000, 0.0000)  1 Ag 2.92, 4 Ge 3.02, 2 Al 3.24
Ho (0.0000, 0.1736, 0.5872)  1 Ag 2.90, 4 Ge 3.00-3.01, 2 Al 3.25
Ho (0.0000, 0.5872, 0.1736)  1 Ag 2.90, 4 Ge 3.00-3.01, 2 Al 3.25
Al (0.5000, 0.3468, 0.3468)  2 Ag 2.71, 2 Ge 2.74, 2 Al 2.92
Al (0.5000, 0.5864, 0.8263)  2 Ge 2.73-2.74, 2 Ag 2.73, 2 Al 2.92-2.93
Al (0.5000, 0.8263, 0.5864)  2 Ge 2.73-2.74, 2 Ag 2.73, 2 Al 2.92-2.93
Ag (0.0000, 0.5843, 0.5843)  6 Al 2.71-2.73, 2 Ho 2.90, 1 Tb 2.92
Ge (0.5000, 0.2549, 0.9196)  3 Al 2.73-2.74, 4 Ho 3.00-3.01, 2 Tb 3.02
Ge (0.5000, 0.9196, 0.2549)  3 Al 2.73-2.74, 4 Ho 3.00-3.01, 2 Tb 3.02

---

Entry 12:
Compound: YHo2Al3AgGe2
Source: OQMD via LeMat-Bulk
Functional: PBE
Structure: relaxed

Summary:
The space group is Amm2 (38). Its electronic total energy is -4.942 eV per atom. Its total magnetization is 0.00 μB/f.u.

Unit cell a=4.2735 b=7.0564 c=7.0564 alpha=120.05 beta=90.00 gamma=90.00
With the nearest neighbours (Å) after each atom.
Positions (direct):
Y (0.0000, 0.0000, 0.0000)  1 Ag 2.93, 4 Ge 3.02, 2 Al 3.24
Ho (0.0000, 0.1733, 0.5867)  1 Ag 2.91, 4 Ge 3.01, 2 Al 3.25
Ho (0.0000, 0.5867, 0.1733)  1 Ag 2.91, 4 Ge 3.01, 2 Al 3.25
Al (0.5000, 0.3461, 0.3461)  2 Ag 2.72, 2 Ge 2.74, 2 Al 2.94
Al (0.5000, 0.5859, 0.8268)  2 Ge 2.73-2.74, 2 Ag 2.73, 2 Al 2.94
Al (0.5000, 0.8268, 0.5859)  2 Ge 2.73-2.74, 2 Ag 2.73, 2 Al 2.94
Ag (0.0000, 0.5846, 0.5846)  6 Al 2.72-2.73, 2 Ho 2.91, 1 Y 2.93
Ge (0.5000, 0.2543, 0.9194)  3 Al 2.73-2.74, 4 Ho 3.01, 2 Y 3.02
Ge (0.5000, 0.9194, 0.2543)  3 Al 2.73-2.74, 4 Ho 3.01, 2 Y 3.02